Entry 1:
Crystalline Sr2AlZnTe at its relaxed geometry, computed with PBE.

Lattice parameters (Å, degrees): 6.201 5.466 6.201 90.00 90.00 90.00
Fractional positions:
Sr 0.000 0.000 0.500
Sr 0.500 0.000 0.000
Zn 0.500 0.500 0.500
Te 0.000 0.000 0.000
Al 0.000 0.500 0.000

Computed properties:
- Space group: P4/mmm, No. 123
- Raw formation energy: 0.2 eV/f.u.

Entry 2:
Crystalline SrTh2Al6 at its relaxed geometry, computed with PBE.

Lattice parameters (Å, degrees): 4.253 7.723 7.723 120.00 90.00 90.00
Fractional positions:
Sr 0.000 0.000 0.000
Th 0.000 0.333 0.667
Th 0.000 0.667 0.333
Al 0.500 0.337 0.337
Al 0.500 0.663 0.663
Al 0.500 0.000 0.663
Al 0.500 0.663 0.000
Al 0.500 0.337 0.000
Al 0.500 0.000 0.337

Computed properties:
- Space group: P6/mmm, No. 191
- ΔE_f: -3.04 eV/f.u.

no.,energy (eV per atom)
1,-2.27
2,-4.67